1.
A plane-wave DFT calculation with PBE was carried out for a geometry-optimized Tl3PdCl6 structure.

The value obtained for the formation energy from raw total energies is -0.753 eV/atom. The calculation puts the excess energy over the best structure of this formula in the dataset at 0.6 kJ per mole of atoms. The space group is Cmcm (63).

Lattice parameters (Å, degrees): 7.808 9.074 9.074 80.70 90.00 90.00
Positions (direct):
1 Cl 0.998 0.337 0.000
2 Cl 0.998 0.000 0.663
3 Tl 0.499 0.314 0.110
4 Cl 0.704 0.177 0.823
5 Cl 0.749 0.628 0.628
6 Tl 0.499 0.890 0.686
7 Tl 0.499 0.395 0.605
8 Cl 0.749 0.372 0.372
9 Cl 0.292 0.177 0.823
10 Pd 0.998 0.178 0.822
11 Pd 0.498 0.822 0.178
12 Tl 0.999 0.605 0.395
13 Cl 0.792 0.823 0.177
14 Cl 0.249 0.372 0.372
15 Cl 0.498 0.000 0.337
16 Tl 0.999 0.110 0.314
17 Cl 0.498 0.663 0.000
18 Cl 0.204 0.823 0.177
19 Tl 0.999 0.686 0.890
20 Cl 0.249 0.628 0.628

2.
A plane-wave DFT calculation with PBE was carried out for a geometry-optimized Ac2TbSm structure.

The calculation puts the excess energy over the best structure of this formula in the dataset at 0.3 kJ per mole of atoms. The formation energy comes out at 0.2 eV/f.u. The space group is R-3m (166).

Lattice parameters (Å, degrees): 3.829 3.829 12.266 81.02 81.02 60.00
Positions (direct):
1 Ac 0.749 0.749 0.752
2 Sm 0.500 0.500 0.500
3 Ac 0.251 0.251 0.248
4 Tb 0.000 0.000 0.000

3.
A plane-wave DFT calculation with PBE was carried out for a geometry-optimized Ba2CaIn3Pt4 structure.

The formation energy comes out at -7.1 eV/f.u. The space group is P-4m2 (115).

Lattice parameters (Å, degrees): 4.789 4.789 11.308 90.00 90.00 90.00
Positions (direct):
1 Ca 0.500 0.500 0.500
2 In 0.000 0.500 0.116
3 Ba 0.500 0.000 0.229
4 Ba 0.000 0.500 0.771
5 Pt 0.000 0.500 0.359
6 Pt 0.000 0.000 0.000
7 In 0.000 0.000 0.500
8 In 0.500 0.000 0.884
9 Pt 0.500 0.500 0.000
10 Pt 0.500 0.000 0.641

4.
A plane-wave DFT calculation with PBE was carried out for a geometry-optimized Ti2BeRh structure.

The formation energy comes out at -1.6 eV/f.u. The space group is P4/mmm (123).

Lattice parameters (Å, degrees): 3.348 4.097 4.097 90.00 90.00 90.00
Positions (direct):
1 Ti 0.000 0.500 0.000
2 Ti 0.000 0.000 0.500
3 Rh 0.500 0.500 0.500
4 Be 0.500 0.000 0.000

Table of Fermi-level density of states (states/eV/f.u.), in record order: 5.18 4.97 5.05 3.51
Table of calculated total energy (eV/atom), in record order: -3.09 -4.35 -4.53 -7.13